Computed, not measured: a geometry-optimized CaLaTc2 structure at the PBE level of DFT.

abc: 7.010 7.010 7.010
angles: 90.00 90.00 90.00
Sites, in units of the cell vectors:
1 Ca 0.000 0.000 0.000
2 Ca 0.000 0.500 0.500
3 Ca 0.500 0.000 0.500
4 Ca 0.500 0.500 0.000
5 La 0.000 0.000 0.500
6 La 0.000 0.500 0.000
7 La 0.500 0.000 0.000
8 La 0.500 0.500 0.500
9 Tc 0.250 0.250 0.250
10 Tc 0.250 0.250 0.750
11 Tc 0.250 0.750 0.250
12 Tc 0.250 0.750 0.750
13 Tc 0.750 0.250 0.250
14 Tc 0.750 0.250 0.750
15 Tc 0.750 0.750 0.250
16 Tc 0.750 0.750 0.750

Calculated values
Distance to the lowest polymorph of the same formula (meV/atom): 503
Magnetization (μB per cell): 8.43
Formation energy (meV/atom): 683
DFT total energy (eV per atom): -6.23
Space group: Fm-3m
ρ (g cm⁻³): 7.2